(1)
Entry from Alexandria via LeMat-Bulk: PmBiH after structural relaxation (PBE-GGA).

Structure (CIF):
```
data_PmBiH
_cell_length_a 4.5476
_cell_length_b 4.5474
_cell_length_c 7.6734
_cell_angle_alpha 72.78
_cell_angle_beta 72.78
_cell_angle_gamma 89.96
_space_group_name_H-M_alt 'P 1'
_space_group_IT_number 1
loop_
_space_group_symop_operation_xyz
'x,y,z'
loop_
_atom_site_label
_atom_site_fract_x
_atom_site_fract_y
_atom_site_fract_z
Pm1 0.2341 0.1743 0.4489
Pm2 0.5744 0.5146 0.7681
Bi1 0.4042 0.8444 0.1085
Bi2 0.9042 0.3444 0.1085
H1 0.1542 0.5945 0.6085
H2 0.6542 0.0944 0.6085
```

Energy above the lowest structure with this stoichiometry in meV per atom: 241


(2)
Entry from Alexandria via LeMat-Bulk: Pm4Bi5H2 after structural relaxation (PBE-GGA).

Structure (CIF):
```
data_Pm4Bi5H2
_cell_length_a 4.2120
_cell_length_b 9.3936
_cell_length_c 8.5400
_cell_angle_alpha 93.12
_cell_angle_beta 104.28
_cell_angle_gamma 90.00
_space_group_name_H-M_alt 'P 1'
_space_group_IT_number 1
loop_
_space_group_symop_operation_xyz
'x,y,z'
loop_
_atom_site_label
_atom_site_fract_x
_atom_site_fract_y
_atom_site_fract_z
Pm1 0.7105 0.7081 0.4210
Pm2 0.0171 0.7359 0.0343
Pm3 0.2895 0.2919 0.5790
Pm4 0.9829 0.2641 0.9657
Bi1 0.1691 0.9968 0.3382
Bi2 0.8309 0.0032 0.6618
Bi3 0.1357 0.4756 0.2714
Bi4 0.5000 0.0000 0.0000
Bi5 0.8643 0.5244 0.7286
H1 0.5741 0.7088 0.1481
H2 0.4259 0.2912 0.8519
```


(3)
Entry from Alexandria via LeMat-Bulk: PmBiH after structural relaxation (PBE-GGA).

Structure (CIF):
```
data_PmBiH
_cell_length_a 3.3804
_cell_length_b 3.3804
_cell_length_c 6.3463
_cell_angle_alpha 105.45
_cell_angle_beta 105.45
_cell_angle_gamma 90.00
_space_group_name_H-M_alt 'P 1'
_space_group_IT_number 1
loop_
_space_group_symop_operation_xyz
'x,y,z'
loop_
_atom_site_label
_atom_site_fract_x
_atom_site_fract_y
_atom_site_fract_z
H1 0.2711 0.2711 0.5422
Bi1 0.0064 0.0064 0.0128
Pm1 0.7225 0.7225 0.4450
```

Energy above the lowest structure with this stoichiometry in meV per atom: 242


(4)
Entry from Alexandria via LeMat-Bulk: Pm2BiH2 after structural relaxation (PBE-GGA).

Structure (CIF):
```
data_Pm2BiH2
_cell_length_a 4.0605
_cell_length_b 4.0605
_cell_length_c 6.6461
_cell_angle_alpha 107.79
_cell_angle_beta 107.79
_cell_angle_gamma 90.00
_space_group_name_H-M_alt 'P 1'
_space_group_IT_number 1
loop_
_space_group_symop_operation_xyz
'x,y,z'
loop_
_atom_site_label
_atom_site_fract_x
_atom_site_fract_y
_atom_site_fract_z
Pm1 0.6484 0.6484 0.2969
Pm2 0.3516 0.3516 0.7031
Bi1 0.0000 0.0000 0.0000
H1 0.7500 0.2500 0.5000
H2 0.2500 0.7500 0.5000
```


(5)
Entry from Alexandria via LeMat-Bulk: Pm2BiH3 after structural relaxation (PBE-GGA).

Structure (CIF):
```
data_Pm2BiH3
_cell_length_a 4.0551
_cell_length_b 7.9360
_cell_length_c 7.4122
_cell_angle_alpha 113.69
_cell_angle_beta 90.00
_cell_angle_gamma 104.80
_space_group_name_H-M_alt 'P 1'
_space_group_IT_number 1
loop_
_space_group_symop_operation_xyz
'x,y,z'
loop_
_atom_site_label
_atom_site_fract_x
_atom_site_fract_y
_atom_site_fract_z
Pm1 0.4711 0.9422 0.7298
Pm2 0.5289 0.0578 0.2702
Pm3 0.8007 0.6014 0.3230
Pm4 0.1993 0.3986 0.6770
Bi1 0.8665 0.7329 0.9527
Bi2 0.1335 0.2671 0.0473
H1 0.3075 0.6150 0.5249
H2 0.9383 0.8765 0.5903
H3 0.5951 0.1903 0.6219
H4 0.4049 0.8097 0.3781
H5 0.0617 0.1235 0.4097
H6 0.6925 0.3850 0.4751
```


(6)
Entry from Alexandria via LeMat-Bulk: PmBiH after structural relaxation (PBE-GGA).

Structure (CIF):
```
data_PmBiH
_cell_length_a 4.9256
_cell_length_b 3.9174
_cell_length_c 3.9174
_cell_angle_alpha 120.00
_cell_angle_beta 90.00
_cell_angle_gamma 90.00
_space_group_name_H-M_alt 'P 1'
_space_group_IT_number 1
loop_
_space_group_symop_operation_xyz
'x,y,z'
loop_
_atom_site_label
_atom_site_fract_x
_atom_site_fract_y
_atom_site_fract_z
H1 0.1664 0.0000 0.0000
Bi1 0.6668 0.3333 0.6667
Pm1 0.1668 0.6667 0.3333
```

Energy above the lowest structure with this stoichiometry in meV per atom: 0


In order of appearance, total DFT energy (no corrections) = -26.4; -51.0; -13.2; -23.7; -55.3; -13.9 eV per cell.
In order of appearance, N(E_F) = 1.23; 4.28; 1.73; 2.25; 0.07; 0.96 states/eV/f.u..